This record from Alexandria describes crystalline BeZnCdCoP at its relaxed geometry. The functional is GGA-PBE.

Cell lengths 7.2326, 3.6933, 6.3964 Å; angles 90.00, 107.25, 90.00 degrees
Last column: nearest neighbours and their distance in Å.
Atoms (fractional coordinates):
Zn (0.2632, 0.5000, 0.6936)  1 Co 2.38
Zn (0.2632, 0.0000, 0.1936)  1 Co 2.38
P (0.8834, 0.0000, 0.7327)  3 Co 2.14-2.15, 3 Be 2.27
P (0.8834, 0.5000, 0.2327)  3 Co 2.14-2.15, 3 Be 2.27
Cd (0.5349, 0.0000, 0.9479)  1 Co 2.65, 3 Zn 2.83-2.86
Cd (0.5349, 0.5000, 0.4479)  1 Co 2.65, 3 Zn 2.83-2.86
Be (0.9948, 0.5000, 0.9365)  3 Co 2.20, 3 P 2.27
Be (0.9948, 0.0000, 0.4365)  3 Co 2.20, 3 P 2.27
Co (0.9184, 0.0000, 0.0773)  3 P 2.14-2.15, 3 Be 2.20, 1 Zn 2.38
Co (0.9184, 0.5000, 0.5773)  3 P 2.14-2.15, 3 Be 2.20, 1 Zn 2.38

E_form, meV/atom: -113.4
Symmetry: Cm (8)
Electronic total energy, eV/cell: -37.996
Fermi-level density of states, states/eV/atom: 0.32
Energy relative to the lowest polymorph listed for this composition, meV per atom: 8.3

This record from Alexandria describes crystalline BeZnCdCoP at its relaxed geometry. The functional is GGA-PBE.

Cell lengths 3.6913, 3.6913, 20.6719 Å; angles 90.00, 90.00, 120.00 degrees
Last column: nearest neighbours and their distance in Å.
Atoms (fractional coordinates):
Cd (0.0000, 0.0000, 0.6403)  1 Co 2.63, 3 Zn 2.82
Cd (0.6667, 0.3333, 0.9736)  1 Co 2.63, 3 Zn 2.82
Cd (0.3333, 0.6667, 0.3069)  1 Co 2.63, 3 Zn 2.82
Co (0.6667, 0.3333, 0.1010)  3 P 2.14, 3 Be 2.20
Co (0.3333, 0.6667, 0.4344)  3 P 2.14, 3 Be 2.20
Co (0.0000, 0.0000, 0.7677)  3 P 2.14, 3 Be 2.20
Be (0.6667, 0.3333, 0.4076)  3 Co 2.20, 3 P 2.27
Be (0.0000, 0.0000, 0.0742)  3 Co 2.20, 3 P 2.27
Be (0.3333, 0.6667, 0.7409)  3 Co 2.20, 3 P 2.27
Zn (0.6667, 0.3333, 0.2174)  1 Co 2.41
Zn (0.3333, 0.6667, 0.5508)  1 Co 2.41
Zn (0.0000, 0.0000, 0.8841)  1 Co 2.41
P (0.3333, 0.6667, 0.1118)  3 Co 2.14, 3 Be 2.27
P (0.0000, 0.0000, 0.4451)  3 Co 2.14, 3 Be 2.27
P (0.6667, 0.3333, 0.7785)  3 Co 2.14, 3 Be 2.27

E_form, meV/atom: -103.9
Symmetry: R3m (160)
Electronic total energy, eV/cell: -56.851
Fermi-level density of states, states/eV/atom: 0.45
Energy relative to the lowest polymorph listed for this composition, meV per atom: 17.8

This record from Alexandria describes crystalline BeZnCdCoP at its relaxed geometry. The functional is GGA-PBE.

Cell lengths 3.6728, 3.6728, 20.5673 Å; angles 90.00, 90.00, 120.00 degrees
Last column: nearest neighbours and their distance in Å.
Atoms (fractional coordinates):
Cd (0.0000, 0.0000, 0.7500)  1 Co 2.65, 3 Zn 2.80
Cd (0.3333, 0.6667, 0.4167)  1 Co 2.65, 3 Zn 2.80
Cd (0.6667, 0.3333, 0.0833)  1 Co 2.65, 3 Zn 2.80
P (0.0000, 0.0000, 0.3005)  3 Co 2.14, 3 Be 2.32
P (0.6667, 0.3333, 0.6339)  3 Co 2.14, 3 Be 2.32
P (0.3333, 0.6667, 0.9672)  3 Co 2.14, 3 Be 2.32
Zn (0.6667, 0.3333, 0.8386)  1 Co 2.38
Zn (0.3333, 0.6667, 0.1720)  1 Co 2.38
Zn (0.0000, 0.0000, 0.5053)  1 Co 2.38
Be (0.0000, 0.0000, 0.9212)  3 Co 2.23, 3 P 2.32
Be (0.6667, 0.3333, 0.2545)  3 Co 2.23, 3 P 2.32
Be (0.3333, 0.6667, 0.5878)  3 Co 2.23, 3 P 2.32
Co (0.0000, 0.0000, 0.6211)  3 P 2.14, 3 Be 2.23, 1 Zn 2.38
Co (0.3333, 0.6667, 0.2877)  3 P 2.14, 3 Be 2.23, 1 Zn 2.38
Co (0.6667, 0.3333, 0.9544)  3 P 2.14, 3 Be 2.23, 1 Zn 2.38

E_form, meV/atom: -121.7
Symmetry: R3m (160)
Electronic total energy, eV/cell: -57.119
Fermi-level density of states, states/eV/atom: 0.47
Energy relative to the lowest polymorph listed for this composition, meV per atom: 0.0

This record from Alexandria describes crystalline BeZnCdCoP at its relaxed geometry. The functional is GGA-PBE.

Cell lengths 2.8778, 2.8778, 8.4730 Å; angles 90.00, 90.00, 90.00 degrees
Last column: nearest neighbours and their distance in Å.
Atoms (fractional coordinates):
P (0.5000, 0.5000, 0.6048)  1 Be 2.28, 4 Co 2.29, 1 Zn 2.39
Co (0.0000, 0.0000, 0.4803)  4 P 2.29, 4 Be 2.37
Zn (0.5000, 0.5000, 0.8872)  1 P 2.39
Be (0.5000, 0.5000, 0.3362)  1 P 2.28, 4 Co 2.37
Cd (0.0000, 0.0000, 0.1280)  4 Be 2.69, 4 Cd 2.88, 4 Zn 2.88, 1 Co 2.99

E_form, meV/atom: -25.1
Symmetry: P4mm (99)
Electronic total energy, eV/cell: -18.556
Fermi-level density of states, states/eV/atom: 0.64
Energy relative to the lowest polymorph listed for this composition, meV per atom: 96.6

This record from Alexandria describes crystalline BeZnCdCoP at its relaxed geometry. The functional is GGA-PBE.

Cell lengths 2.8662, 2.8662, 8.4748 Å; angles 90.00, 90.00, 90.00 degrees
Last column: nearest neighbours and their distance in Å.
Atoms (fractional coordinates):
Cd (0.5000, 0.5000, 0.0673)  1 P 2.67, 4 Cd 2.87, 4 Zn 2.91
Be (0.5000, 0.5000, 0.6560)  1 P 2.31, 4 Co 2.38, 4 Zn 2.46
Co (0.0000, 0.0000, 0.5092)  4 P 2.29, 4 Be 2.38
Zn (0.0000, 0.0000, 0.8211)  4 Be 2.46, 1 Co 2.64
P (0.5000, 0.5000, 0.3829)  4 Co 2.29, 1 Be 2.31

E_form, meV/atom: -84.8
Symmetry: P4mm (99)
Electronic total energy, eV/cell: -18.855
Fermi-level density of states, states/eV/atom: 0.55
Energy relative to the lowest polymorph listed for this composition, meV per atom: 36.9

This record from Alexandria describes crystalline BeZnCdCoP at its relaxed geometry. The functional is GGA-PBE.

Cell lengths 4.8907, 2.7502, 5.4935 Å; angles 90.00, 97.92, 90.00 degrees
Last column: nearest neighbours and their distance in Å.
Atoms (fractional coordinates):
Be (0.4755, 0.5000, 0.9938)  1 P 2.13, 2 Co 2.27
Cd (0.9616, 0.0000, 0.9125)  2 Cd 2.75, 2 Co 2.78-2.82, 4 Be 2.83-2.85, 2 Zn 3.06
Co (0.4187, 0.0000, 0.6625)  2 P 2.20, 2 Be 2.27
Zn (0.0355, 0.5000, 0.4281)  2 P 2.38-2.54, 2 Co 2.53
P (0.5451, 0.5000, 0.3853)  1 Be 2.13, 2 Co 2.20, 1 Zn 2.38

E_form, meV/atom: -8.0
Symmetry: Pm (6)
Electronic total energy, eV/cell: -18.471
Fermi-level density of states, states/eV/atom: 0.22
Energy relative to the lowest polymorph listed for this composition, meV per atom: 113.7

This record from Alexandria describes crystalline BeZnCdCoP at its relaxed geometry. The functional is GGA-PBE.

Cell lengths 3.7418, 3.7418, 6.0714 Å; angles 90.00, 90.00, 120.00 degrees
Last column: nearest neighbours and their distance in Å.
Atoms (fractional coordinates):
Zn (0.0000, 0.0000, 0.8387)  1 Co 2.38, 3 Be 2.61
P (0.3333, 0.6667, 0.4428)  3 Co 2.16, 3 Be 2.35
Co (0.0000, 0.0000, 0.4460)  3 P 2.16, 3 Be 2.35, 1 Zn 2.38
Be (0.6667, 0.3333, 0.5964)  3 Co 2.35, 3 P 2.35, 3 Zn 2.61
Cd (0.6667, 0.3333, 0.1125)  3 Zn 2.73, 1 Be 2.94, 3 P 2.95, 3 Co 2.96

E_form, meV/atom: -92.3
Symmetry: P3m1 (156)
Electronic total energy, eV/cell: -18.892
Fermi-level density of states, states/eV/atom: 0.34
Energy relative to the lowest polymorph listed for this composition, meV per atom: 29.4

This record from Alexandria describes crystalline BeZnCdCoP at its relaxed geometry. The functional is GGA-PBE.

Cell lengths 6.7020, 3.5831, 6.6781 Å; angles 90.00, 102.74, 90.00 degrees
Last column: nearest neighbours and their distance in Å.
Atoms (fractional coordinates):
Cd (0.1138, 0.0000, 0.3579)  1 Co 2.66, 3 Zn 2.79-2.89, 2 Be 2.94
Cd (0.1138, 0.5000, 0.8579)  1 Co 2.66, 3 Zn 2.79-2.89, 2 Be 2.94
Co (0.5204, 0.5000, 0.9533)  3 P 2.15-2.16, 3 Be 2.22-2.27
Co (0.5204, 0.0000, 0.4533)  3 P 2.15-2.16, 3 Be 2.22-2.27
P (0.5419, 0.5000, 0.6361)  3 Co 2.15-2.16, 2 Be 2.18
P (0.5419, 0.0000, 0.1361)  3 Co 2.15-2.16, 2 Be 2.18
Zn (0.8337, 0.5000, 0.4610)  1 P 2.49, 2 Co 2.75, 1 Be 2.76, 2 Cd 2.79
Zn (0.8337, 0.0000, 0.9610)  1 P 2.49, 2 Co 2.75, 1 Be 2.76, 2 Cd 2.79
Be (0.4265, 0.0000, 0.7595)  2 P 2.18, 3 Co 2.22-2.27
Be (0.4265, 0.5000, 0.2595)  2 P 2.18, 3 Co 2.22-2.27

E_form, meV/atom: -79.5
Symmetry: Cm (8)
Electronic total energy, eV/cell: -37.657
Fermi-level density of states, states/eV/atom: 0.35
Energy relative to the lowest polymorph listed for this composition, meV per atom: 42.2

This record from Alexandria describes crystalline BeZnCdCoP at its relaxed geometry. The functional is GGA-PBE.

Cell lengths 5.0156, 3.0177, 5.4133 Å; angles 90.00, 116.54, 90.00 degrees
Last column: nearest neighbours and their distance in Å.
Atoms (fractional coordinates):
P (0.4594, 0.5000, 0.9996)  1 Be 2.13, 2 Co 2.17
Zn (0.2646, 0.0000, 0.3056)  2 Co 2.47-2.56, 2 Be 2.53, 2 P 2.72, 1 Cd 2.75
Cd (0.7959, 0.0000, 0.7796)  2 Co 2.67-2.75, 2 Be 2.67, 2 Zn 2.75-2.77, 2 P 2.89
Be (0.1048, 0.5000, 0.5898)  1 P 2.13, 2 Co 2.37
Co (0.7573, 0.0000, 0.2712)  2 P 2.17, 2 Be 2.37

E_form, meV/atom: 13.0
Symmetry: Pm (6)
Electronic total energy, eV/cell: -18.366
Fermi-level density of states, states/eV/atom: 0.45
Energy relative to the lowest polymorph listed for this composition, meV per atom: 134.8

This record from Alexandria describes crystalline BeZnCdCoP at its relaxed geometry. The functional is GGA-PBE.

Cell lengths 2.8143, 4.3807, 6.4722 Å; angles 74.96, 77.09, 70.97 degrees
Last column: nearest neighbours and their distance in Å.
Atoms (fractional coordinates):
P (0.5240, 0.9876, 0.5585)  1 Be 2.13, 2 Co 2.23-2.24
Be (0.4916, 0.3545, 0.2671)  1 P 2.13, 2 Co 2.38-2.39
Co (0.8108, 0.4058, 0.5635)  3 P 2.23-2.40, 2 Be 2.38-2.39
Cd (0.8080, 0.8355, 0.1458)  3 Be 2.42-2.44
Zn (0.1598, 0.3623, 0.9015)  2 Co 2.53, 2 Be 2.67-2.72, 3 Cd 2.73-2.79, 2 Zn 2.81

E_form, meV/atom: 60.8
Symmetry: P1 (1)
Electronic total energy, eV/cell: -18.127
Fermi-level density of states, states/eV/atom: 0.45
Energy relative to the lowest polymorph listed for this composition, meV per atom: 182.5

This record from Alexandria describes crystalline BeZnCdCoP at its relaxed geometry. The functional is GGA-PBE.

Cell lengths 3.6864, 3.6864, 20.7553 Å; angles 90.00, 90.00, 120.00 degrees
Last column: nearest neighbours and their distance in Å.
Atoms (fractional coordinates):
Co (0.6667, 0.3333, 0.7403)  3 P 2.14, 3 Be 2.20
Co (0.0000, 0.0000, 0.4070)  3 P 2.14, 3 Be 2.20
Co (0.3333, 0.6667, 0.0737)  3 P 2.14, 3 Be 2.20
Be (0.6667, 0.3333, 0.1004)  3 Co 2.20, 3 P 2.26
Be (0.0000, 0.0000, 0.7670)  3 Co 2.20, 3 P 2.26
Be (0.3333, 0.6667, 0.4337)  3 Co 2.20, 3 P 2.26
P (0.3333, 0.6667, 0.7302)  3 Co 2.14, 3 Be 2.26
P (0.6667, 0.3333, 0.3969)  3 Co 2.14, 3 Be 2.26
P (0.0000, 0.0000, 0.0635)  3 Co 2.14, 3 Be 2.26
Cd (0.3333, 0.6667, 0.2011)  1 Co 2.64, 3 Zn 2.83
Cd (0.0000, 0.0000, 0.5344)  1 Co 2.64, 3 Zn 2.83
Cd (0.6667, 0.3333, 0.8678)  1 Co 2.64, 3 Zn 2.83
Zn (0.6667, 0.3333, 0.6242)  1 Co 2.41
Zn (0.3333, 0.6667, 0.9575)  1 Co 2.41
Zn (0.0000, 0.0000, 0.2909)  1 Co 2.41

E_form, meV/atom: -107.4
Symmetry: R3m (160)
Electronic total energy, eV/cell: -56.904
Fermi-level density of states, states/eV/atom: 0.31
Energy relative to the lowest polymorph listed for this composition, meV per atom: 14.3

This record from Alexandria describes crystalline BeZnCdCoP at its relaxed geometry. The functional is GGA-PBE.

Cell lengths 2.8122, 5.0124, 5.4141 Å; angles 81.27, 90.10, 73.41 degrees
Last column: nearest neighbours and their distance in Å.
Atoms (fractional coordinates):
Co (0.2765, 0.4403, 0.3035)  2 P 2.15-2.16, 2 Be 2.30-2.31
Cd (0.9894, 0.0175, 0.1197)  3 Be 2.70-2.76, 3 Co 2.78-2.79, 2 Cd 2.81, 2 Zn 2.97-2.98
Be (0.7058, 0.5808, 0.9689)  1 P 2.14, 2 Co 2.30-2.31
Zn (0.4905, 0.0188, 0.6354)  1 Co 2.48, 3 P 2.51-2.71, 1 Be 2.55
P (0.7437, 0.5062, 0.5903)  1 Be 2.14, 2 Co 2.15-2.16

E_form, meV/atom: 18.1
Symmetry: P1 (1)
Electronic total energy, eV/cell: -18.340
Fermi-level density of states, states/eV/atom: 0.34
Energy relative to the lowest polymorph listed for this composition, meV per atom: 139.8

This record from Alexandria describes crystalline BeZnCdCoP at its relaxed geometry. The functional is GGA-PBE.

Cell lengths 6.7424, 3.3243, 7.0889 Å; angles 90.00, 108.31, 90.00 degrees
Last column: nearest neighbours and their distance in Å.
Atoms (fractional coordinates):
P (0.5744, 0.0000, 0.5762)  2 Be 2.18, 3 Co 2.20-2.23
P (0.5744, 0.5000, 0.0762)  2 Be 2.18, 3 Co 2.20-2.23
Cd (0.9158, 0.0000, 0.9478)  1 Co 2.68, 3 Zn 2.78-2.80, 1 P 2.90
Cd (0.9158, 0.5000, 0.4478)  1 Co 2.68, 3 Zn 2.78-2.80, 1 P 2.90
Zn (0.1909, 0.0000, 0.3367)  3 Be 2.32-2.60
Zn (0.1909, 0.5000, 0.8367)  3 Be 2.32-2.60
Co (0.4992, 0.5000, 0.3561)  3 P 2.20-2.23, 3 Be 2.22-2.33
Co (0.4992, 0.0000, 0.8561)  3 P 2.20-2.23, 3 Be 2.22-2.33
Be (0.3832, 0.5000, 0.6162)  2 P 2.18, 3 Co 2.22-2.33, 1 Zn 2.32
Be (0.3832, 0.0000, 0.1162)  2 P 2.18, 3 Co 2.22-2.33, 1 Zn 2.32

E_form, meV/atom: -97.2
Symmetry: Cm (8)
Electronic total energy, eV/cell: -37.834
Fermi-level density of states, states/eV/atom: 0.31
Energy relative to the lowest polymorph listed for this composition, meV per atom: 24.6